1.
TaInCu2 after structural relaxation. Source: the Alexandria database, functional GGA-PBEsol.

Results
- theoretical density (g cm⁻³) = 11.382
- space-group type = I-4m2 (119)
- raw total energy (eV per atom) = -5.68
- magnetization (μB per formula unit) = 0.005
- crystal system = tetragonal
- DOS at the Fermi energy (states/eV per atom) = 0.994

abc: 3.9939 3.9939 7.7349
angles: 90.00 90.00 90.00
Element x y z (fractional)
Ta: 0.0000 0.0000 0.0000
Ta: 0.5000 0.5000 0.5000
In: 0.0000 0.5000 0.7500
In: 0.5000 0.0000 0.2500
Cu: 0.0000 0.0000 0.5000
Cu: 0.0000 0.5000 0.2500
Cu: 0.5000 0.0000 0.7500
Cu: 0.5000 0.5000 0.0000

2.
Zr3GaTe after structural relaxation. Source: the Alexandria database, functional GGA-PBEsol.

Results
- energy above the most stable polymorph in this dataset (eV/atom) = 0.0000
- theoretical density (g cm⁻³) = 6.420
- space-group type = Pm-3m (221)
- E_form (uncorrected) (meV/atom) = 252
- magnetization (μB per formula unit) = 0.001
- crystal system = cubic
- DOS at the Fermi energy (states/eV per atom) = 1.131

abc: 4.9574 4.9574 4.9574
angles: 90.00 90.00 90.00
Element x y z (fractional)
Zr: 0.0000 0.0000 0.5000
Zr: 0.0000 0.5000 0.0000
Zr: 0.5000 0.0000 0.0000
Ga: 0.0000 0.0000 0.0000
Te: 0.5000 0.5000 0.5000

3.
Zr2TeCl after structural relaxation. Source: the Alexandria database, functional GGA-PBEsol.

Results
- energy above the most stable polymorph in this dataset (eV/atom) = 0.1493
- theoretical density (g cm⁻³) = 6.962
- space-group type = R-3m (166)
- E_form (uncorrected) (meV/atom) = -635
- magnetization (μB per formula unit) = 0.000
- crystal system = trigonal
- DOS at the Fermi energy (states/eV per atom) = 0.848

abc: 3.3782 3.3782 25.0131
angles: 90.00 90.00 120.00
Element x y z (fractional)
Zr: 0.0000 0.0000 0.2471
Zr: 0.0000 0.0000 0.7529
Zr: 0.3333 0.6667 0.4196
Zr: 0.3333 0.6667 0.9138
Zr: 0.6667 0.3333 0.0862
Zr: 0.6667 0.3333 0.5804
Te: 0.0000 0.0000 0.0000
Te: 0.3333 0.6667 0.6667
Te: 0.6667 0.3333 0.3333
Cl: 0.0000 0.0000 0.5000
Cl: 0.3333 0.6667 0.1667
Cl: 0.6667 0.3333 0.8333

4.
K2CoSe after structural relaxation. Source: the Alexandria database, functional GGA-PBEsol.

Results
- theoretical density (g cm⁻³) = 3.886
- space-group type = F-43m (216)
- E_form (uncorrected) (meV/atom) = 360
- magnetization (μB per formula unit) = 1.480
- crystal system = cubic
- DOS at the Fermi energy (states/eV per atom) = 1.599

abc: 7.1748 7.1748 7.1748
angles: 90.00 90.00 90.00
Element x y z (fractional)
K: 0.0000 0.0000 0.0000
K: 0.0000 0.5000 0.5000
K: 0.2500 0.2500 0.2500
K: 0.2500 0.7500 0.7500
K: 0.5000 0.0000 0.5000
K: 0.5000 0.5000 0.0000
K: 0.7500 0.2500 0.7500
K: 0.7500 0.7500 0.2500
Co: 0.2500 0.2500 0.7500
Co: 0.2500 0.7500 0.2500
Co: 0.7500 0.2500 0.2500
Co: 0.7500 0.7500 0.7500
Se: 0.0000 0.0000 0.5000
Se: 0.0000 0.5000 0.0000
Se: 0.5000 0.0000 0.0000
Se: 0.5000 0.5000 0.5000

5.
SrPbCl2 after structural relaxation. Source: the Alexandria database, functional GGA-PBEsol.

Results
- energy above the most stable polymorph in this dataset (eV/atom) = 0.1264
- theoretical density (g cm⁻³) = 5.849
- space-group type = Fm-3m (225)
- E_form (uncorrected) (meV/atom) = -1087
- magnetization (μB per formula unit) = 0.001
- crystal system = cubic
- DOS at the Fermi energy (states/eV per atom) = 0.994

abc: 7.4611 7.4611 7.4611
angles: 90.00 90.00 90.00
Element x y z (fractional)
Sr: 0.0000 0.0000 0.0000
Sr: 0.0000 0.5000 0.5000
Sr: 0.5000 0.0000 0.5000
Sr: 0.5000 0.5000 0.0000
Pb: 0.0000 0.0000 0.5000
Pb: 0.0000 0.5000 0.0000
Pb: 0.5000 0.0000 0.0000
Pb: 0.5000 0.5000 0.5000
Cl: 0.2500 0.2500 0.2500
Cl: 0.2500 0.2500 0.7500
Cl: 0.2500 0.7500 0.2500
Cl: 0.2500 0.7500 0.7500
Cl: 0.7500 0.2500 0.2500
Cl: 0.7500 0.2500 0.7500
Cl: 0.7500 0.7500 0.2500
Cl: 0.7500 0.7500 0.7500

6.
CaAu after structural relaxation. Source: the Alexandria database, functional GGA-PBEsol.

Results
- theoretical density (g cm⁻³) = 8.062
- space-group type = Cmcm (63)
- raw total energy (eV per atom) = -3.80
- magnetization (μB per formula unit) = 0.000
- crystal system = orthorhombic
- DOS at the Fermi energy (states/eV per atom) = 0.592

abc: 3.9749 10.9231 4.4977
angles: 90.00 90.00 90.00
Element x y z (fractional)
Ca: 0.0000 0.1407 0.2500
Ca: 0.0000 0.8593 0.7500
Ca: 0.5000 0.3593 0.7500
Ca: 0.5000 0.6407 0.2500
Au: 0.0000 0.4203 0.2500
Au: 0.0000 0.5797 0.7500
Au: 0.5000 0.0797 0.7500
Au: 0.5000 0.9203 0.2500